[1]
# CaPrTlCl6

An optimized crystal structure of CaPrTlCl6 (PBE-GGA, Alexandria).

Properties
For the uncorrected formation energy, the calculation gives -2.05 eV per atom. Its density of states at the Fermi level is 0.000 states/eV per atom.

Cell lengths 7.2881, 7.2881, 13.6911 Å; angles 90.00, 90.00, 120.00 degrees
Space group P-31c (No. 163)
Symmetry-distinct sites (fractional):
Ca 0.3333 0.6667 0.2500 x2
Pr 0.3333 0.6667 0.7500 x2
Tl 0.0000 0.0000 0.0000 x2
Cl 0.0020 0.3723 0.1377 x12



[2]
# Sr12H5Pd3

An optimized crystal structure of Sr12H5Pd3 (PBE-GGA, Alexandria).

Properties
For the total energy, the calculation gives -2.99 eV/atom. Its density of states at the Fermi level is 0.382 states/eV per atom.

Cell lengths 16.8307, 16.8307, 16.8307 Å; angles 90.00, 90.00, 90.00 degrees
Space group Ia-3d (No. 230)
Symmetry-distinct sites (fractional):
Sr 0.0315 0.0577 0.6554 x96
H 0.0000 0.0000 0.0000 x16
H 0.0000 0.2500 0.3750 x24
Pd 0.0000 0.2500 0.1250 x24



[3]
# La2DyHg4

An optimized crystal structure of La2DyHg4 (PBE-GGA, Alexandria).

Properties
Its density of states at the Fermi level is 0.803 states/eV per atom. For the formation energy, the calculation gives -2.59 eV per formula unit.

Cell lengths 5.2262, 5.2262, 27.4202 Å; angles 90.00, 90.00, 120.00 degrees
Space group R-3m (No. 166, hexagonal axes)
Symmetry-distinct sites (fractional):
La 0.0000 0.0000 0.2445 x6
Dy 0.0000 0.0000 0.0000 x3
Hg 0.0000 0.0000 0.1268 x6
Hg 0.0000 0.0000 0.3686 x6